# 1
# GGA-PBE Rb3NiIr, optimized geometry
data_Rb3NiIr
_chemical_formula_sum 'Rb3 Ni1 Ir1'
_space_group_name_H-M_alt 'P m -3 m'
_space_group_IT_number 221
_space_group_name_Hall '-P 4 2 3'
_cell_length_a 6.343
_cell_length_b 6.343
_cell_length_c 6.343
_cell_angle_alpha 90.00
_cell_angle_beta 90.00
_cell_angle_gamma 90.00
loop_
_atom_site_label
_atom_site_type_symbol
_atom_site_fract_x
_atom_site_fract_y
_atom_site_fract_z
Rb1 Rb 0.000 0.000 0.500
Ni1 Ni 0.500 0.500 0.500
Ir1 Ir 0.000 0.000 0.000
# - ΔH_f (0 K): 1.165 eV per atom
# - M_tot: 2.00 μB/f.u.


# 2
# GGA-PBE KSiPS2, optimized geometry
data_KSiPS2
_chemical_formula_sum 'K1 Si1 P1 S2'
_space_group_name_H-M_alt 'P 4/m m m'
_space_group_IT_number 123
_space_group_name_Hall '-P 4 2'
_cell_length_a 4.824
_cell_length_b 4.824
_cell_length_c 4.561
_cell_angle_alpha 90.00
_cell_angle_beta 90.00
_cell_angle_gamma 90.00
loop_
_atom_site_label
_atom_site_type_symbol
_atom_site_fract_x
_atom_site_fract_y
_atom_site_fract_z
K1 K 0.000 0.000 0.000
Si1 Si 0.500 0.500 0.500
P1 P 0.500 0.500 0.000
S1 S 0.000 0.500 0.500
# - M_tot: 0.94 μB/f.u.
# - ΔE to the lowest computed polymorph: 0 meV per atom
# - E_form (uncorrected): -0.026 eV/atom


# 3
# GGA-PBE Th2Zn5Pd, optimized geometry
data_Th2Zn5Pd
_chemical_formula_sum 'Th8 Zn20 Pd4'
_space_group_name_H-M_alt 'C m c m'
_space_group_IT_number 63
_space_group_name_Hall '-C 2c 2'
_cell_length_a 4.298
_cell_length_b 16.546
_cell_length_c 8.972
_cell_angle_alpha 90.00
_cell_angle_beta 90.00
_cell_angle_gamma 90.00
loop_
_atom_site_label
_atom_site_type_symbol
_atom_site_fract_x
_atom_site_fract_y
_atom_site_fract_z
Th1 Th 0.000 0.000 0.000
Th2 Th 0.000 0.199 0.250
Zn1 Zn 0.000 0.187 0.608
Zn2 Zn 0.000 0.349 0.519
Zn3 Zn 0.000 0.399 0.250
Pd1 Pd 0.000 0.446 0.750
# - ΔH_f (0 K): -0.388 eV per atom
# - M_tot: 0.00 μB/f.u.


# 4
# GGA-PBE BaSr2Hf, optimized geometry
data_BaSr2Hf
_chemical_formula_sum 'Ba4 Sr8 Hf4'
_space_group_name_H-M_alt 'I -4 2 d'
_space_group_IT_number 122
_space_group_name_Hall 'I -4 2bw'
_cell_length_a 5.155
_cell_length_b 5.155
_cell_length_c 26.134
_cell_angle_alpha 90.00
_cell_angle_beta 90.00
_cell_angle_gamma 90.00
loop_
_atom_site_label
_atom_site_type_symbol
_atom_site_fract_x
_atom_site_fract_y
_atom_site_fract_z
Ba1 Ba 0.000 0.000 0.000
Sr1 Sr 0.233 0.250 0.625
Hf1 Hf 0.000 0.000 0.500
# - ΔH_f (0 K): 0.873 eV per atom
# - M_tot: 2.05 μB/f.u.
# - ΔE to the lowest computed polymorph: 230 meV per atom